Record 1
This record from Alexandria via LeMat-Bulk describes a relaxed Tl2HgRu crystal. The functional is PBEsol.

As for the calculated total energy: -0.254 Ry per atom. Its formation energy is 0.542 eV/atom.

Unit cell a=3.359 b=4.996 c=4.996 alpha=105.39 beta=90.00 gamma=90.00
Fractional positions:
1 Tl 0.000 0.000 0.500
2 Ru 0.500 0.500 0.500
3 Hg 0.500 0.000 0.000
4 Tl 0.000 0.500 0.000

Record 2
This record from Alexandria via LeMat-Bulk describes a relaxed TlHgRu2 crystal. The functional is PBEsol.

As for the calculated total energy: -0.385 Ry per atom. For the excess energy over the best structure of this formula in the dataset, the calculation gives 0.000 eV per atom. Its formation energy is 0.645 eV/atom.

Unit cell a=2.982 b=4.731 c=5.244 alpha=101.64 beta=90.00 gamma=108.37
Fractional positions:
1 Hg 0.500 0.000 0.000
2 Ru 0.252 0.504 0.224
3 Tl 0.000 0.000 0.500
4 Ru 0.748 0.496 0.776

Record 3
This record from Alexandria via LeMat-Bulk describes a relaxed TlHgRu2 crystal. The functional is PBEsol.

As for the calculated total energy: -0.384 Ry per atom. For the excess energy over the best structure of this formula in the dataset, the calculation gives 0.009 eV per atom. Its formation energy is 0.654 eV/atom.

Unit cell a=3.228 b=4.551 c=4.551 alpha=89.93 beta=90.00 gamma=90.00
Site moments in Bohr magnetons follow the coordinates.
Fractional positions:
1 Ru 0.000 0.000 0.500  0.57
2 Tl 0.500 0.500 0.500  -0.01
3 Hg 0.500 0.000 0.000  0.03
4 Ru 0.000 0.500 0.000  0.57

Record 4
This record from Alexandria via LeMat-Bulk describes a relaxed Hg2RuW crystal. The functional is PBEsol.

As for the calculated total energy: -0.401 Ry per atom. For the excess energy over the best structure of this formula in the dataset, the calculation gives 0.134 eV per atom. Its formation energy is 0.826 eV/atom.

Unit cell a=3.971 b=3.971 c=5.116 alpha=112.83 beta=112.83 gamma=90.00
Site moments in Bohr magnetons follow the coordinates.
Fractional positions:
1 Hg 0.750 0.250 0.500  0.01
2 Hg 0.250 0.750 0.500  0.01
3 Ru 0.500 0.500 0.000  0.05
4 W 0.000 0.000 0.000  0.14

Record 5
This record from Alexandria via LeMat-Bulk describes a relaxed Hg2RuW crystal. The functional is PBEsol.

As for the calculated total energy: -0.402 Ry per atom. For the excess energy over the best structure of this formula in the dataset, the calculation gives 0.111 eV per atom. Its formation energy is 0.803 eV/atom.

Unit cell a=2.906 b=5.083 c=5.083 alpha=115.43 beta=90.00 gamma=90.00
Fractional positions:
1 Hg 0.000 0.000 0.500
2 Ru 0.500 0.000 0.000
3 Hg 0.000 0.500 0.000
4 W 0.500 0.500 0.500

Record 6
This record from Alexandria via LeMat-Bulk describes a relaxed Hg2RuW crystal. The functional is PBEsol.

As for the calculated total energy: -0.411 Ry per atom. For the excess energy over the best structure of this formula in the dataset, the calculation gives 0.000 eV per atom. Its formation energy is 0.692 eV/atom.

Unit cell a=2.902 b=2.902 c=9.424 alpha=81.14 beta=81.14 gamma=60.00
Site moments in Bohr magnetons follow the coordinates.
Fractional positions:
1 W 0.000 0.000 0.000  -0.01
2 Ru 0.500 0.500 0.500  0.29
3 Hg 0.752 0.752 0.743  0.00
4 Hg 0.248 0.248 0.257  0.00

Record 7
This record from Alexandria via LeMat-Bulk describes a relaxed YHgRu2 crystal. The functional is PBEsol.

As for the calculated total energy: -0.476 Ry per atom. Its formation energy is 0.452 eV/atom.

Unit cell a=2.944 b=2.944 c=8.760 alpha=90.00 beta=90.00 gamma=112.45
Fractional positions:
1 Y 0.500 0.500 0.500
2 Hg 0.500 0.500 0.000
3 Ru 0.000 0.000 0.746
4 Ru 0.000 0.000 0.254

Record 8
This record from Alexandria via LeMat-Bulk describes a relaxed YHg2Ru crystal. The functional is PBEsol.

As for the calculated total energy: -0.348 Ry per atom. For the excess energy over the best structure of this formula in the dataset, the calculation gives 0.000 eV per atom. Its formation energy is -0.206 eV/atom.

Unit cell a=4.167 b=4.165 c=5.322 alpha=113.03 beta=113.04 gamma=90.00
Fractional positions:
1 Ru 0.500 0.000 0.000
2 Hg 0.750 0.750 0.500
3 Hg 0.250 0.250 0.500
4 Y 0.000 0.500 0.000